Computed, not measured: an optimized crystal structure of TaTlAg2 at the PBE level of DFT.

Output
E_form = 0.45 eV per atom
symmetry = Pm (6)

Cell and atoms, written as CIF:
```
data_TaTlAg2
_cell_length_a 4.4249
_cell_length_b 2.9311
_cell_length_c 6.2472
_cell_angle_alpha 75.69
_cell_angle_beta 90.00
_cell_angle_gamma 90.00
_space_group_name_H-M_alt 'P 1'
_space_group_IT_number 1
_space_group_name_Hall 'P 1'
loop_
_atom_site_label
_atom_site_fract_x
_atom_site_fract_y
_atom_site_fract_z
Tl1 0.5000 0.9373 0.7324
Ag1 0.0000 0.8029 0.0299
Ag2 0.5000 0.1947 0.2410
Ta1 0.0000 0.5651 0.4968
```

---

Computed, not measured: an optimized crystal structure of TaTl2Ag at the PBE level of DFT.

Output
E_form = 0.51 eV per atom
symmetry = C2/m (12)

Cell and atoms, written as CIF:
```
data_TaTl2Ag
_cell_length_a 5.7897
_cell_length_b 5.7897
_cell_length_c 3.0530
_cell_angle_alpha 77.13
_cell_angle_beta 77.13
_cell_angle_gamma 112.29
_space_group_name_H-M_alt 'P 1'
_space_group_IT_number 1
_space_group_name_Hall 'P 1'
loop_
_atom_site_label
_atom_site_fract_x
_atom_site_fract_y
_atom_site_fract_z
Ta1 0.0000 0.5000 0.5000
Tl1 0.5000 0.5000 0.0000
Tl2 0.0000 0.0000 0.0000
Ag1 0.5000 0.0000 0.5000
```

---

Computed, not measured: an optimized crystal structure of TaTl4Ag at the PBE level of DFT.

Output
E_form = 0.99 eV per atom
symmetry = F-43m (216)

Cell and atoms, written as CIF:
```
data_TaTl4Ag
_cell_length_a 6.1174
_cell_length_b 6.1174
_cell_length_c 6.1174
_cell_angle_alpha 60.00
_cell_angle_beta 60.00
_cell_angle_gamma 60.00
_space_group_name_H-M_alt 'P 1'
_space_group_IT_number 1
_space_group_name_Hall 'P 1'
loop_
_atom_site_label
_atom_site_fract_x
_atom_site_fract_y
_atom_site_fract_z
Tl1 0.3750 0.3750 0.8749
Tl2 0.8749 0.3750 0.3750
Tl3 0.3750 0.3750 0.3750
Tl4 0.3750 0.8749 0.3750
Ta1 0.0000 0.0000 0.0000
Ag1 0.7500 0.7500 0.7500
```

---

Computed, not measured: an optimized crystal structure of TaTl2Ag at the PBE level of DFT.

Output
E_form = 0.62 eV per atom
symmetry = I-4m2 (119)

Cell and atoms, written as CIF:
```
data_TaTl2Ag
_cell_length_a 5.8094
_cell_length_b 5.8094
_cell_length_c 5.8094
_cell_angle_alpha 138.27
_cell_angle_beta 138.27
_cell_angle_gamma 60.48
_space_group_name_H-M_alt 'P 1'
_space_group_IT_number 1
_space_group_name_Hall 'P 1'
loop_
_atom_site_label
_atom_site_fract_x
_atom_site_fract_y
_atom_site_fract_z
Ag1 0.5000 0.5000 0.0000
Tl1 0.2500 0.7500 0.5000
Tl2 0.0000 0.0000 0.0000
Ta1 0.7500 0.2500 0.5000
```

---

Computed, not measured: an optimized crystal structure of TaTl2Ag at the PBE level of DFT.

Output
E_form = 0.56 eV per atom
symmetry = Pmm2 (25)

Cell and atoms, written as CIF:
```
data_TaTl2Ag
_cell_length_a 3.1663
_cell_length_b 4.4180
_cell_length_c 6.2481
_cell_angle_alpha 90.00
_cell_angle_beta 90.00
_cell_angle_gamma 90.00
_space_group_name_H-M_alt 'P 1'
_space_group_IT_number 1
_space_group_name_Hall 'P 1'
loop_
_atom_site_label
_atom_site_fract_x
_atom_site_fract_y
_atom_site_fract_z
Tl1 0.0000 0.0000 0.9627
Tl2 0.5000 0.5000 0.2763
Ag1 0.0000 0.0000 0.5071
Ta1 0.5000 0.5000 0.7539
```

---

Computed, not measured: an optimized crystal structure of TaTl2Ag at the PBE level of DFT.

Output
E_form = 0.77 eV per atom
symmetry = Fm-3m (225)

Cell and atoms, written as CIF:
```
data_TaTl2Ag
_cell_length_a 4.9811
_cell_length_b 4.9811
_cell_length_c 4.9811
_cell_angle_alpha 60.00
_cell_angle_beta 60.00
_cell_angle_gamma 60.00
_space_group_name_H-M_alt 'P 1'
_space_group_IT_number 1
_space_group_name_Hall 'P 1'
loop_
_atom_site_label
_atom_site_fract_x
_atom_site_fract_y
_atom_site_fract_z
Ag1 0.0000 0.0000 0.0000
Tl1 0.2500 0.2500 0.2500
Tl2 0.7500 0.7500 0.7500
Ta1 0.5000 0.5000 0.5000
```

---

Computed, not measured: an optimized crystal structure of TaTlAg2 at the PBE level of DFT.

Output
E_form = 0.44 eV per atom
symmetry = Pmmm (47)

Cell and atoms, written as CIF:
```
data_TaTlAg2
_cell_length_a 2.9676
_cell_length_b 4.4178
_cell_length_c 6.0207
_cell_angle_alpha 90.00
_cell_angle_beta 90.00
_cell_angle_gamma 90.00
_space_group_name_H-M_alt 'P 1'
_space_group_IT_number 1
_space_group_name_Hall 'P 1'
loop_
_atom_site_label
_atom_site_fract_x
_atom_site_fract_y
_atom_site_fract_z
Tl1 0.5000 0.5000 0.7500
Ta1 0.5000 0.5000 0.2500
Ag1 0.0000 0.0000 0.4795
Ag2 0.0000 0.0000 0.0205
```

---

Computed, not measured: an optimized crystal structure of TaTlAg2 at the PBE level of DFT.

Output
E_form = 0.49 eV per atom
symmetry = Cmmm (65)

Cell and atoms, written as CIF:
```
data_TaTlAg2
_cell_length_a 5.4450
_cell_length_b 5.4450
_cell_length_c 2.9223
_cell_angle_alpha 90.00
_cell_angle_beta 90.00
_cell_angle_gamma 113.86
_space_group_name_H-M_alt 'P 1'
_space_group_IT_number 1
_space_group_name_Hall 'P 1'
loop_
_atom_site_label
_atom_site_fract_x
_atom_site_fract_y
_atom_site_fract_z
Ta1 0.5000 0.0000 0.5000
Tl1 0.0000 0.5000 0.5000
Ag1 0.5000 0.5000 0.0000
Ag2 0.0000 0.0000 0.0000
```